Computed, not measured: a relaxed Pm2Fe17 crystal at the GGA-PBE level of DFT.

It has space group R-3m (No. 166, hexagonal axes), with a = 8.5413 Å, b = 8.5413 Å, c = 12.4672 Å, α = 90.00°, β = 90.00° and γ = 120.00°. Symmetry generates all atoms from Pm at (0.0000, 0.0000, 0.1595), Fe at (0.0000, 0.0000, 0.4036), Fe at (0.0000, 0.2908, 0.5000), Fe at (0.0000, 0.5000, 0.0000) and Fe at (0.0017, 0.5009, 0.3432).

For the magnetization, the calculation gives 120.1 μB per cell. The crystal system is trigonal. For the energy of formation from the pure elements, the calculation gives 49 kJ/mol of formula units. The value obtained for the density of states at the Fermi level is 1.042 states/eV per atom. The calculation puts the total energy at -8.05 eV per atom.